No. 1
This record from the Alexandria database describes a relaxed Sm8DyHo2 crystal. The functional is PBE-GGA.

Calculated density, Mg/m³: 7.45
ΔE to the lowest computed polymorph, meV/atom: 0.0
Energy of formation from the pure elements, eV/f.u.: 1.84
Total energy, eV for the cell shown: -49.668

```
Sm8DyHo2
1.0
5.152 -6.723 0.000
5.152 6.723 0.000
-0.015 0.000 5.453
Sm Dy Ho
8 1 2
Direct
0.165 0.165 0.000
0.200 0.470 0.499
0.247 0.753 0.000
0.470 0.200 0.499
0.530 0.800 0.501
0.753 0.247 0.000
0.800 0.530 0.501
0.835 0.835 0.000
0.500 0.500 0.000
0.120 0.880 0.500
0.880 0.120 0.500
```

No. 2
This record from the Alexandria database describes a relaxed EuErLuMg crystal. The functional is PBE-GGA.

Calculated density, Mg/m³: 7.15
Energy of formation from the pure elements, eV/f.u.: 0.29
Total energy, eV for the cell shown: -20.667

```
EuErLuMg
1.0
0.000 3.920 3.920
3.920 0.000 3.920
3.920 3.920 0.000
Eu Er Lu Mg
1 1 1 1
Direct
0.000 0.000 0.000
0.500 0.500 0.500
0.250 0.250 0.250
0.750 0.750 0.750
```

No. 3
This record from the Alexandria database describes a relaxed Sm2AlGe3 crystal. The functional is PBE-GGA.

Calculated density, Mg/m³: 6.80
ΔE to the lowest computed polymorph, meV/atom: 0.0
Energy of formation from the pure elements, eV/f.u.: -4.01
Total energy, eV for the cell shown: -124.178

```
Sm2AlGe3
1.0
6.908 0.000 0.000
0.000 4.284 0.000
0.000 0.000 18.012
Sm Al Ge
8 4 12
Direct
0.166 0.250 0.204
0.167 0.250 0.416
0.333 0.750 0.916
0.334 0.750 0.704
0.666 0.250 0.296
0.667 0.250 0.084
0.833 0.750 0.584
0.834 0.750 0.796
0.046 0.750 0.065
0.454 0.250 0.565
0.546 0.750 0.435
0.954 0.250 0.935
0.035 0.250 0.674
0.149 0.250 0.812
0.242 0.250 0.035
0.258 0.750 0.535
0.351 0.750 0.312
0.465 0.750 0.174
0.535 0.250 0.826
0.649 0.250 0.688
0.742 0.250 0.465
0.758 0.750 0.965
0.851 0.750 0.188
0.965 0.750 0.326
```

No. 4
This record from the Alexandria database describes a relaxed Pu2Bi3Pb crystal. The functional is PBE-GGA.

Calculated density, Mg/m³: 10.66
Energy of formation from the pure elements, eV/f.u.: -0.77
Total energy, eV for the cell shown: -44.780

```
Pu2Bi3Pb
1.0
-2.285 3.226 6.988
2.285 -3.226 6.988
2.285 3.226 -6.988
Pu Bi Pb
2 3 1
Direct
0.161 0.161 0.000
0.839 0.839 0.000
0.000 0.500 0.500
0.321 0.821 0.500
0.679 0.179 0.500
0.500 0.500 0.000
```

No. 5
This record from the Alexandria database describes a relaxed NaCaPu2Te4 crystal. The functional is PBE-GGA.

Calculated density, Mg/m³: 6.73
Formation energy from raw total energies, eV per atom: -1.171
Total energy, eV for the cell shown: -53.916

```
NaCaPu2Te4
1.0
7.836 0.000 0.000
0.000 4.514 0.000
-2.626 0.000 7.406
Na Ca Pu Te
1 1 2 4
Direct
0.000 0.000 0.000
0.000 0.500 0.500
0.500 0.000 0.500
0.500 0.500 0.000
0.253 0.000 0.750
0.257 0.500 0.256
0.743 0.500 0.744
0.747 0.000 0.250
```

No. 6
This record from the Alexandria database describes a relaxed SrMgSn2Au crystal. The functional is PBE-GGA.

Calculated density, Mg/m³: 6.82
Energy of formation from the pure elements, eV/f.u.: -2.52
Total energy, eV for the cell shown: -17.078

```
SrMgSn2Au
1.0
-2.324 2.324 6.157
2.324 -2.324 6.157
2.324 2.324 -6.157
Sr Mg Sn Au
1 1 2 1
Direct
0.000 0.000 0.000
0.750 0.250 0.500
0.384 0.384 0.000
0.616 0.616 0.000
0.250 0.750 0.500
```

No. 7
This record from the Alexandria database describes a relaxed ZrHgP4 crystal. The functional is PBE-GGA.

Calculated density, Mg/m³: 6.80
Energy of formation from the pure elements, eV/f.u.: 1.55
Total energy, eV for the cell shown: -28.936

```
ZrHgP4
1.0
0.000 3.703 3.703
3.703 0.000 3.703
3.703 3.703 0.000
Zr Hg P
1 1 4
Direct
0.000 0.000 0.000
0.750 0.750 0.750
0.374 0.374 0.374
0.374 0.374 0.878
0.374 0.878 0.374
0.878 0.374 0.374
```

No. 8
This record from the Alexandria database describes a relaxed Na2CrOs crystal. The functional is PBE-GGA.

Calculated density, Mg/m³: 6.98
ΔE to the lowest computed polymorph, meV/atom: 601.3
Energy of formation from the pure elements, eV/f.u.: 7.86
Total energy, eV for the cell shown: -15.630

```
Na2CrOs
1.0
0.000 3.248 3.248
3.248 0.000 3.248
3.248 3.248 0.000
Na Cr Os
2 1 1
Direct
0.250 0.250 0.250
0.750 0.750 0.750
0.000 0.000 0.000
0.500 0.500 0.500
```